[1]
A plane-wave DFT calculation with PBE was carried out for a relaxed structure of PmGe2IrOs.

Cell lengths 4.2524, 4.2524, 5.9254 Å; angles 111.03, 111.03, 90.00 degrees
With the nearest neighbours (Å) after each atom.
Sites, in units of the cell vectors:
Pm 0.0000 0.0000 0.0000  8 Ge 3.27, 4 Ir 3.32, 4 Os 3.32
Ge 0.6266 0.6266 0.2532  2 Ir 2.47, 2 Os 2.47, 1 Ge 2.59
Ge 0.3734 0.3734 0.7468  2 Os 2.47, 2 Ir 2.47, 1 Ge 2.59
Ir 0.7500 0.2500 0.5000  4 Ge 2.47
Os 0.2500 0.7500 0.5000  4 Ge 2.47

## Properties
The calculated density is 12.10 g cm⁻³. The calculation puts the total energy at -7.412 eV per atom. Its symmetry is I-4m2 (119). Its density of states at the Fermi level is 0.54 states/eV/atom. As for the calculated volume: 92.3 Å³ per cell.



[2]
A plane-wave DFT calculation with PBE was carried out for a relaxed structure of Pu2Ge6IrOs.

Cell lengths 6.0614, 6.0614, 13.3478 Å; angles 76.88, 76.88, 60.00 degrees
With the nearest neighbours (Å) after each atom.
Sites, in units of the cell vectors:
Pu 0.8768 0.8768 0.3697  9 Ge 3.05-3.14
Pu 0.1232 0.1232 0.6303  9 Ge 3.05-3.14
Pu 0.7228 0.7228 0.8317  9 Ge 3.04-3.17
Pu 0.2772 0.2772 0.1683  9 Ge 3.04-3.17
Ge 0.9278 0.3424 0.3875  1 Ir 2.51, 2 Ge 2.51, 1 Os 2.52
Ge 0.3424 0.9278 0.3875  1 Ir 2.51, 2 Ge 2.51, 1 Os 2.52
Ge 0.3424 0.3424 0.3875  1 Ir 2.51, 2 Ge 2.51, 1 Os 2.52
Ge 0.0722 0.6576 0.6125  1 Ir 2.51, 2 Ge 2.51, 1 Os 2.52
Ge 0.6576 0.0722 0.6125  1 Ir 2.51, 2 Ge 2.51, 1 Os 2.52
Ge 0.6576 0.6576 0.6125  1 Ir 2.51, 2 Ge 2.51, 1 Os 2.52
Ge 0.7639 0.1962 0.8436  1 Os 2.49, 1 Ir 2.52, 2 Ge 2.62
Ge 0.1962 0.7639 0.8436  1 Os 2.49, 1 Ir 2.52, 2 Ge 2.62
Ge 0.1962 0.1962 0.8436  1 Os 2.49, 1 Ir 2.52, 2 Ge 2.62
Ge 0.2361 0.8038 0.1564  1 Os 2.49, 1 Ir 2.52, 2 Ge 2.62
Ge 0.8038 0.2361 0.1564  1 Os 2.49, 1 Ir 2.52, 2 Ge 2.62
Ge 0.8038 0.8038 0.1564  1 Os 2.49, 1 Ir 2.52, 2 Ge 2.62
Ir 0.0000 0.0000 0.0000  6 Ge 2.52
Ir 0.5000 0.5000 0.5000  6 Ge 2.51
Os 0.5756 0.5756 0.2732  6 Ge 2.49-2.52
Os 0.4244 0.4244 0.7268  6 Ge 2.49-2.52

## Properties
The calculated density is 10.59 g cm⁻³. The calculation puts the total energy at -7.787 eV per atom. Its symmetry is R-3m (166). Its density of states at the Fermi level is 1.49 states/eV/atom. As for the calculated volume: 409.8 Å³ per cell.



[3]
A plane-wave DFT calculation with PBE was carried out for a relaxed structure of ReGeIr2Os.

Cell lengths 4.4849, 4.4936, 4.4849 Å; angles 90.00, 90.00, 90.00 degrees
With the nearest neighbours (Å) after each atom.
Sites, in units of the cell vectors:
Re 0.5000 0.5000 0.5000  4 Os 3.17, 8 Ir 3.17
Ge 0.0000 0.0000 0.0000  4 Ir 2.24, 2 Os 2.25
Ir 0.0000 0.0000 0.5000  2 Ge 2.24
Ir 0.5000 0.0000 0.0000  2 Ge 2.24
Os 0.0000 0.5000 0.0000  2 Ge 2.25

## Properties
The calculated density is 15.31 g cm⁻³. The calculation puts the total energy at -7.425 eV per atom. Its symmetry is P4/mmm (123). Its density of states at the Fermi level is 0.96 states/eV/atom. As for the calculated volume: 90.4 Å³ per cell.



[4]
A plane-wave DFT calculation with PBE was carried out for a relaxed structure of SrGe2IrOs.

Cell lengths 5.2006, 4.8595, 5.2006 Å; angles 90.00, 90.00, 90.00 degrees
With the nearest neighbours (Å) after each atom.
Sites, in units of the cell vectors:
Sr 0.0000 0.0000 0.0000  2 Ir 2.43, 4 Ge 2.60
Ge 0.0000 0.0000 0.5000  2 Sr 2.60
Ge 0.5000 0.0000 0.0000  2 Sr 2.60
Ir 0.0000 0.5000 0.0000  2 Sr 2.43
Os 0.5000 0.5000 0.5000  8 Ge 3.56, 4 Ir 3.68

## Properties
The calculated density is 7.77 g cm⁻³. The calculation puts the total energy at -3.468 eV per atom. Its symmetry is P4/mmm (123). Its density of states at the Fermi level is 1.79 states/eV/atom. As for the calculated volume: 131.4 Å³ per cell.



[5]
A plane-wave DFT calculation with PBE was carried out for a relaxed structure of TiGeIrOs2.

Cell lengths 4.7601, 4.5703, 4.7601 Å; angles 90.00, 90.00, 90.00 degrees
With the nearest neighbours (Å) after each atom.
Sites, in units of the cell vectors:
Ge 0.0000 0.5000 0.0000  2 Ir 2.29
Ir 0.0000 0.0000 0.0000  2 Ge 2.29, 4 Os 2.38
Os 0.0000 0.0000 0.5000  2 Ir 2.38
Os 0.5000 0.0000 0.0000  2 Ir 2.38
Ti 0.5000 0.5000 0.5000  8 Os 3.30, 4 Ge 3.37

## Properties
The calculated density is 11.12 g cm⁻³. The calculation puts the total energy at -7.183 eV per atom. Its symmetry is P4/mmm (123). Its density of states at the Fermi level is 1.68 states/eV/atom. As for the calculated volume: 103.6 Å³ per cell.



[6]
A plane-wave DFT calculation with PBE was carried out for a relaxed structure of YGeIr2Os.

Cell lengths 4.9887, 4.9404, 4.9887 Å; angles 90.00, 90.00, 90.00 degrees
With the nearest neighbours (Å) after each atom.
Sites, in units of the cell vectors:
Y 0.0000 0.0000 0.0000  2 Os 2.47, 4 Ir 2.49
Ge 0.5000 0.5000 0.5000  8 Ir 3.51, 4 Os 3.53
Ir 0.0000 0.0000 0.5000  2 Y 2.49
Ir 0.5000 0.0000 0.0000  2 Y 2.49
Os 0.0000 0.5000 0.0000  2 Y 2.47

## Properties
The calculated density is 9.94 g cm⁻³. The calculation puts the total energy at -5.701 eV per atom. Its symmetry is P4/mmm (123). Its density of states at the Fermi level is 1.68 states/eV/atom. As for the calculated volume: 123.0 Å³ per cell.



- calculated density of number 6 (YGeIr2Os)?
  9.94 g cm⁻³